(1)
Material: Er4Si2S3O7
Method: DFT, meta-GGA SCAN
State: PBEsol geometry

```
Er4Si2S3O7
1.0
-5.758 5.758 6.692
5.758 -5.758 6.692
5.758 5.758 -6.692
Er Si S O
16 8 12 28
Direct
0.048 0.298 0.096
0.048 0.952 0.750
0.174 0.659 0.515
0.298 0.048 0.596
0.298 0.702 0.250
0.341 0.355 0.515
0.341 0.826 0.985
0.355 0.341 0.015
0.645 0.659 0.985
0.659 0.174 0.015
0.659 0.645 0.485
0.702 0.298 0.750
0.702 0.952 0.404
0.826 0.341 0.485
0.952 0.048 0.250
0.952 0.702 0.904
0.095 0.220 0.625
0.095 0.470 0.875
0.220 0.095 0.125
0.470 0.095 0.375
0.530 0.905 0.625
0.780 0.905 0.875
0.905 0.530 0.125
0.905 0.780 0.375
0.000 0.355 0.355
0.000 0.645 0.645
0.125 0.875 0.250
0.355 0.000 0.855
0.355 0.500 0.355
0.375 0.625 0.750
0.500 0.355 0.855
0.500 0.645 0.145
0.625 0.375 0.250
0.645 0.000 0.145
0.645 0.500 0.645
0.875 0.125 0.750
0.085 0.568 0.234
0.085 0.851 0.518
0.149 0.167 0.234
0.149 0.915 0.982
0.151 0.401 0.750
0.167 0.149 0.734
0.167 0.432 0.018
0.173 0.188 0.515
0.173 0.659 0.985
0.188 0.173 0.015
0.341 0.827 0.515
0.401 0.151 0.250
0.432 0.167 0.518
0.432 0.915 0.266
0.568 0.085 0.734
0.568 0.833 0.482
0.599 0.849 0.750
0.659 0.173 0.485
0.812 0.827 0.985
0.827 0.341 0.015
0.827 0.812 0.485
0.833 0.568 0.982
0.833 0.851 0.266
0.849 0.599 0.250
0.851 0.085 0.018
0.851 0.833 0.766
0.915 0.149 0.482
0.915 0.432 0.766
```

Calculated values
M_tot (Bohr magnetons per cell): 0.000
Formation energy (no corrections) (eV per atom): -3.18
VASP energy (eV per atom): -21.544
Calculated volume (A^3/atom): 13.87
Density (Mg/m³): 7.0
Symmetry: I4_1/amd, No. 141

(2)
Material: Ta3IrPd
Method: DFT, meta-GGA SCAN
State: PBEsol geometry

```
Ta3IrPd
1.0
4.676 0.000 0.000
0.000 4.676 0.000
0.000 0.000 4.676
Ta Ir Pd
3 1 1
Direct
0.000 0.000 0.500
0.000 0.500 0.000
0.500 0.000 0.000
0.500 0.500 0.500
0.000 0.000 0.000
```

Calculated values
M_tot (Bohr magnetons per cell): 0.000
VASP energy (eV per atom): -59.151
Energy of formation from the pure elements (eV/atom): 1.574
Calculated volume (A^3/atom): 20.45
Density (Mg/m³): 13.7
Symmetry: Pm-3m, No. 221

(3)
Material: YPRhO2
Method: DFT, meta-GGA SCAN
State: PBEsol geometry

```
YPRhO2
1.0
3.984 0.000 0.000
0.000 3.984 0.000
0.000 0.000 5.925
Y P Rh O
1 1 1 2
Direct
0.000 0.000 0.000
0.000 0.000 0.500
0.500 0.500 0.500
0.000 0.500 0.000
0.500 0.000 0.000
```

Calculated values
M_tot (Bohr magnetons per cell): 3.216
Formation energy (no corrections) (eV per atom): -0.46
VASP energy (eV per atom): -17.353
Calculated volume (A^3/atom): 18.81
Density (Mg/m³): 4.5
Symmetry: P4/mmm, No. 123

(4)
Material: K2NaSrMg
Method: DFT, meta-GGA SCAN
State: PBEsol geometry

```
K2NaSrMg
1.0
6.699 0.000 0.000
0.000 6.699 0.000
0.000 0.000 6.739
K Na Sr Mg
2 1 1 1
Direct
0.000 0.500 0.000
0.500 0.000 0.000
0.000 0.000 0.500
0.500 0.500 0.500
0.500 0.500 0.000
```

Calculated values
M_tot (Bohr magnetons per cell): 0.000
VASP energy (eV per atom): -9.331
Energy of formation from the pure elements (eV/atom): 0.293
Calculated volume (A^3/atom): 60.48
Density (Mg/m³): 1.2
Symmetry: P4/mmm, No. 123

(5)
Material: SiOs2Br
Method: DFT, meta-GGA SCAN
State: PBEsol geometry

```
SiOs2Br
1.0
-1.430 2.060 5.206
1.430 -2.060 5.206
1.430 2.060 -5.206
Si Os Br
1 2 1
Direct
0.000 0.000 0.000
0.569 0.569 0.000
0.803 0.303 0.500
0.261 0.761 0.500
```

Calculated values
M_tot (Bohr magnetons per cell): 0.000
Relative energy among the computed polymorphs (meV per atom): 406.2
Formation energy (no corrections) (eV per atom): 1.00
VASP energy (eV per atom): -42.310
Calculated volume (A^3/atom): 15.34
Density (Mg/m³): 13.2
Symmetry: Imm2, No. 44

(6)
Material: YMgIn4
Method: DFT, meta-GGA SCAN
State: PBEsol geometry

```
YMgIn4
1.0
0.000 4.214 4.214
4.214 0.000 4.214
4.214 4.214 0.000
Y Mg In
1 1 4
Direct
0.000 0.000 0.000
0.750 0.750 0.750
0.375 0.375 0.375
0.375 0.375 0.874
0.375 0.874 0.375
0.874 0.375 0.375
```

Calculated values
M_tot (Bohr magnetons per cell): 0.000
VASP energy (eV per atom): -27.924
Energy of formation from the pure elements (eV/atom): -0.197
Calculated volume (A^3/atom): 24.94
Density (Mg/m³): 6.4
Symmetry: F-43m, No. 216

(7)
Material: NbReBPt2
Method: DFT, meta-GGA SCAN
State: PBEsol geometry

```
NbReBPt2
1.0
4.837 0.000 0.000
0.000 4.837 0.000
0.000 0.000 4.677
Nb Re B Pt
1 1 1 2
Direct
0.000 0.000 0.000
0.000 0.000 0.500
0.500 0.500 0.500
0.000 0.500 0.000
0.500 0.000 0.000
```

Calculated values
M_tot (Bohr magnetons per cell): 0.765
VASP energy (eV per atom): -47.926
Energy of formation from the pure elements (eV/atom): 2.482
Calculated volume (A^3/atom): 21.88
Density (Mg/m³): 10.3
Symmetry: P4/mmm, No. 123

(8)
Material: CdInHg2
Method: DFT, meta-GGA SCAN
State: PBEsol geometry

```
CdInHg2
1.0
3.295 0.000 0.000
0.000 4.461 0.000
0.000 0.000 6.214
Cd In Hg
1 1 2
Direct
0.000 0.000 0.000
0.500 0.500 0.733
0.000 0.000 0.491
0.500 0.500 0.227
```

Calculated values
M_tot (Bohr magnetons per cell): 0.000
VASP energy (eV per atom): -49.996
Energy of formation from the pure elements (eV/atom): 0.037
Calculated volume (A^3/atom): 22.83
Density (Mg/m³): 11.4
Symmetry: Pmm2, No. 25

(9)
Material: GeBiPd3
Method: DFT, meta-GGA SCAN
State: PBEsol geometry

```
GeBiPd3
1.0
4.953 0.000 0.000
0.000 4.953 0.000
0.000 0.000 4.953
Ge Bi Pd
1 1 3
Direct
0.000 0.000 0.000
0.500 0.500 0.500
0.000 0.500 0.500
0.500 0.000 0.500
0.500 0.500 0.000
```

Calculated values
M_tot (Bohr magnetons per cell): 0.000
VASP energy (eV per atom): -38.439
Energy of formation from the pure elements (eV/atom): 0.759
Calculated volume (A^3/atom): 24.31
Density (Mg/m³): 8.2
Symmetry: Pm-3m, No. 221

(10)
Material: ReH2Rh
Method: DFT, meta-GGA SCAN
State: PBEsol geometry

```
ReH2Rh
1.0
0.000 2.598 2.598
2.598 0.000 2.598
2.598 2.598 0.000
Re H Rh
1 2 1
Direct
0.000 0.000 0.000
0.250 0.250 0.250
0.750 0.750 0.750
0.500 0.500 0.500
```

Calculated values
M_tot (Bohr magnetons per cell): 0.004
Relative energy among the computed polymorphs (meV per atom): 737.8
VASP energy (eV per atom): -26.917
Calculated volume (A^3/atom): 8.77
Density (Mg/m³): 13.8
Symmetry: Fm-3m, No. 225

(11)
Material: TaInTe2
Method: DFT, meta-GGA SCAN
State: PBEsol geometry

```
TaInTe2
1.0
1.787 -2.670 0.000
1.787 2.670 0.000
0.000 0.000 10.403
Ta In Te
1 1 2
Direct
0.000 0.000 0.000
0.000 0.000 0.500
0.500 0.500 0.207
0.500 0.500 0.793
```

Calculated values
M_tot (Bohr magnetons per cell): 0.000
Formation energy (no corrections) (eV per atom): 0.21
VASP energy (eV per atom): -43.410
Calculated volume (A^3/atom): 24.82
Density (Mg/m³): 9.2
Symmetry: Cmmm, No. 65

(12)
Material: BTeRuI2
Method: DFT, meta-GGA SCAN
State: PBEsol geometry

```
BTeRuI2
1.0
4.833 0.000 0.000
0.000 4.833 0.000
0.000 0.000 4.747
B Te Ru I
1 1 1 2
Direct
0.000 0.000 0.000
0.000 0.000 0.500
0.500 0.500 0.500
0.000 0.500 0.000
0.500 0.000 0.000
```

Calculated values
M_tot (Bohr magnetons per cell): 3.228
Formation energy (no corrections) (eV per atom): 1.46
VASP energy (eV per atom): -29.136
Calculated volume (A^3/atom): 22.17
Density (Mg/m³): 7.4
Symmetry: P4/mmm, No. 123

(13)
Material: Ga2Os2Cl
Method: DFT, meta-GGA SCAN
State: PBEsol geometry

```
Ga2Os2Cl
1.0
-2.461 2.461 3.769
2.461 -2.461 3.769
2.461 2.461 -3.769
Ga Os Cl
2 2 1
Direct
0.250 0.750 0.500
0.750 0.250 0.500
0.149 0.149 0.000
0.851 0.851 0.000
0.500 0.500 0.000
```

Calculated values
M_tot (Bohr magnetons per cell): 0.946
Formation energy (no corrections) (eV per atom): 0.54
VASP energy (eV per atom): -36.345
Calculated volume (A^3/atom): 18.27
Density (Mg/m³): 10.1
Symmetry: I4/mmm, No. 139

(14)
Material: CrRhI2
Method: DFT, meta-GGA SCAN
State: PBEsol geometry

```
CrRhI2
1.0
0.000 3.434 3.434
3.434 0.000 3.434
3.434 3.434 0.000
Cr Rh I
1 1 2
Direct
0.000 0.000 0.000
0.500 0.500 0.500
0.250 0.250 0.250
0.750 0.750 0.750
```

Calculated values
M_tot (Bohr magnetons per cell): 2.999
Formation energy (no corrections) (eV per atom): 0.52
VASP energy (eV per atom): -30.893
Calculated volume (A^3/atom): 20.24
Density (Mg/m³): 8.4
Symmetry: Fm-3m, No. 225

(15)
Material: NiTe3Ir
Method: DFT, meta-GGA SCAN
State: PBEsol geometry

```
NiTe3Ir
1.0
4.808 0.000 0.000
0.000 4.808 0.000
0.000 0.000 4.808
Ni Te Ir
1 3 1
Direct
0.000 0.000 0.000
0.000 0.000 0.500
0.000 0.500 0.000
0.500 0.000 0.000
0.500 0.500 0.500
```

Calculated values
M_tot (Bohr magnetons per cell): 0.000
Formation energy (no corrections) (eV per atom): 1.01
VASP energy (eV per atom): -38.800
Calculated volume (A^3/atom): 22.23
Density (Mg/m³): 9.5
Symmetry: Pm-3m, No. 221

(16)
Material: AlIn8
Method: DFT, meta-GGA SCAN
State: PBEsol geometry

```
AlIn8
1.0
-4.734 4.734 2.450
4.734 -4.734 2.450
4.734 4.734 -2.450
Al In
1 8
Direct
0.000 0.000 0.000
0.000 0.327 0.327
0.000 0.673 0.673
0.327 0.000 0.327
0.336 0.336 0.673
0.336 0.664 0.000
0.664 0.336 0.000
0.664 0.664 0.327
0.673 0.000 0.673
```

Calculated values
M_tot (Bohr magnetons per cell): 0.000
VASP energy (eV per atom): -30.433
Energy of formation from the pure elements (eV/atom): 0.105
Calculated volume (A^3/atom): 24.40
Density (Mg/m³): 7.1
Symmetry: I4/mmm, No. 139

(17)
Material: CaSb2Mo
Method: DFT, meta-GGA SCAN
State: PBEsol geometry

```
CaSb2Mo
1.0
1.892 1.092 7.762
-1.892 1.092 7.762
0.000 -2.185 7.762
Ca Sb Mo
1 2 1
Direct
0.000 0.000 0.000
0.238 0.238 0.238
0.762 0.762 0.762
0.500 0.500 0.500
```

Calculated values
M_tot (Bohr magnetons per cell): 0.000
Formation energy (no corrections) (eV per atom): -0.19
VASP energy (eV per atom): -29.953
Calculated volume (A^3/atom): 24.06
Density (Mg/m³): 6.5
Symmetry: R-3m, No. 166

(18)
Material: Mg2TaAg
Method: DFT, meta-GGA SCAN
State: PBEsol geometry

```
Mg2TaAg
1.0
2.923 0.000 0.000
0.000 2.923 0.000
0.000 0.000 8.411
Mg Ta Ag
2 1 1
Direct
0.000 0.000 0.240
0.000 0.000 0.760
0.500 0.500 0.500
0.500 0.500 0.000
```

Calculated values
M_tot (Bohr magnetons per cell): 0.000
Relative energy among the computed polymorphs (meV per atom): 0.0
VASP energy (eV per atom): -26.922
Energy of formation from the pure elements (eV/atom): 0.053
Calculated volume (A^3/atom): 17.96
Density (Mg/m³): 7.8
Symmetry: P4/mmm, No. 123

(19)
Material: Ce2Si5Ir3
Method: DFT, meta-GGA SCAN
State: PBEsol geometry

```
Ce2Si5Ir3
1.0
-4.978 5.721 2.913
4.978 -5.721 2.913
4.978 5.721 -2.913
Ce Si Ir
4 10 6
Direct
0.131 0.230 0.361
0.369 0.730 0.099
0.631 0.270 0.901
0.869 0.770 0.639
0.023 0.750 0.273
0.108 0.653 0.761
0.250 0.250 0.000
0.392 0.153 0.545
0.477 0.750 0.727
0.523 0.250 0.273
0.608 0.847 0.455
0.750 0.750 0.000
0.892 0.347 0.239
0.977 0.250 0.727
0.139 0.885 0.024
0.250 0.750 0.500
0.361 0.385 0.746
0.639 0.615 0.254
0.750 0.250 0.500
0.861 0.115 0.976
```

Calculated values
M_tot (Bohr magnetons per cell): 0.000
Formation energy (no corrections) (eV per atom): -1.09
VASP energy (eV per atom): -36.343
Calculated volume (A^3/atom): 16.59
Density (Mg/m³): 10.0
Symmetry: Ibam, No. 72

(20)
Material: Te8Ir3
Method: DFT, meta-GGA SCAN
State: PBEsol geometry

```
Te8Ir3
1.0
4.567 2.637 3.645
-4.567 2.637 3.645
0.000 -5.274 3.645
Te Ir
8 3
Direct
0.132 0.132 0.132
0.134 0.631 0.377
0.369 0.623 0.866
0.377 0.134 0.631
0.623 0.866 0.369
0.631 0.377 0.134
0.866 0.369 0.623
0.868 0.868 0.868
0.000 0.000 0.500
0.000 0.500 0.000
0.500 0.000 0.000
```

Calculated values
M_tot (Bohr magnetons per cell): 0.000
Formation energy (no corrections) (eV per atom): -0.34
VASP energy (eV per atom): -46.825
Calculated volume (A^3/atom): 23.95
Density (Mg/m³): 10.1
Symmetry: R-3, No. 148